GaPdS2 | PBE | optimized geometry

abc: 8.123 8.123 8.123
angles: 25.19 25.19 25.19
Element x y z (fractional)
S1 0.888 0.888 0.888
S2 0.112 0.112 0.112
Ga1 0.000 0.000 0.000
Pd1 0.500 0.500 0.500

Summary:
**M_tot**: 0.00 Bohr magnetons per cell
**Space group**: No. 166
**Energy relative to the elements, uncorrected**: -0.059 eV per atom